<P>
{
  "formula": "Tb3IrPb2",
  "functional": "GGA-PBE",
  "state": "relaxed",
  "cell": [[-1.345, 0.326, 4.200], [-8.151, -8.293, -1.966], [8.299, -8.952, 3.352]],
  "species": ["Pb", "Pb", "Pb", "Pb", "Pb", "Pb", "Pb", "Pb", "Tb", "Tb", "Tb", "Tb", "Tb", "Tb", "Tb", "Tb", "Tb", "Tb", "Tb", "Tb", "Ir", "Ir", "Ir", "Ir"],
  "fractional_positions": [[0.750, 0.999, 0.685], [0.250, 0.803, 0.014], [0.750, 0.501, 0.185], [0.750, 0.197, 0.986], [0.250, 0.001, 0.315], [0.750, 0.303, 0.486], [0.250, 0.499, 0.815], [0.250, 0.697, 0.514], [0.750, 0.961, 0.117], [0.750, 0.289, 0.750], [0.250, 0.368, 0.056], [0.750, 0.868, 0.444], [0.250, 0.711, 0.250], [0.250, 0.461, 0.383], [0.750, 0.539, 0.617], [0.250, 0.132, 0.556], [0.750, 0.211, 0.250], [0.750, 0.632, 0.944], [0.250, 0.039, 0.883], [0.250, 0.789, 0.750], [0.250, 0.369, 0.624], [0.250, 0.131, 0.124], [0.750, 0.631, 0.376], [0.750, 0.869, 0.876]],
  "n_ef_per_ev_cell": 10.44,
  "mass_density_g_cm3": 10.900,
  "magnetic_moment_mub_per_atom": 0.00,
  "volume_a3_per_atom": 27.507
}

<Q>
{
  "formula": "Tb3IrPb2",
  "functional": "GGA-PBE",
  "state": "relaxed",
  "cell": [[6.269, 0.000, 0.000], [0.000, 7.474, -0.089], [-3.135, -1.966, 6.968]],
  "species": ["Ir", "Ir", "Tb", "Tb", "Tb", "Tb", "Tb", "Tb", "Pb", "Pb", "Pb", "Pb"],
  "fractional_positions": [[0.870, 0.250, 0.000], [0.130, 0.750, 0.000], [0.329, 0.250, 0.000], [0.070, 0.109, 0.298], [0.930, 0.891, 0.702], [0.772, 0.391, 0.702], [0.671, 0.750, 0.000], [0.228, 0.609, 0.298], [0.567, 0.027, 0.321], [0.246, 0.473, 0.679], [0.754, 0.527, 0.321], [0.433, 0.973, 0.679]],
  "n_ef_per_ev_cell": 6.70,
  "mass_density_g_cm3": 11.057,
  "magnetic_moment_mub_per_atom": 0.00,
  "volume_a3_per_atom": 27.116
}

<P> is the most stable structure; the next one sits 11.4 kJ/mol of atoms above it.

<P>
{
  "formula": "TcIrPb2",
  "functional": "GGA-PBE",
  "state": "relaxed",
  "cell": [[6.572, 0.134, -0.031], [4.131, 5.113, 0.031], [-4.893, -3.559, 2.569]],
  "species": ["Pb", "Pb", "Ir", "Tc"],
  "fractional_positions": [[0.714, 0.214, 0.500], [0.991, 0.991, 0.000], [0.308, 0.808, 0.500], [0.487, 0.487, 0.000]],
  "n_ef_per_ev_cell": 4.96,
  "mass_density_g_cm3": 13.718,
  "magnetic_moment_mub_per_atom": 0.00,
  "volume_a3_per_atom": 21.323
}

<Q>
{
  "formula": "TcIrPb2",
  "functional": "GGA-PBE",
  "state": "relaxed",
  "cell": [[-7.564, 0.712, 0.985], [0.422, -4.287, 6.335], [-3.121, 0.705, 5.317]],
  "species": ["Tc", "Tc", "Pb", "Pb", "Pb", "Pb", "Ir", "Ir"],
  "fractional_positions": [[0.500, 0.500, 0.000], [0.250, 0.750, 0.500], [0.642, 0.125, 0.250], [0.875, 0.892, 0.750], [0.375, 0.358, 0.750], [0.108, 0.625, 0.250], [0.000, 0.000, 0.000], [0.750, 0.250, 0.500]],
  "n_ef_per_ev_cell": 5.89,
  "mass_density_g_cm3": 13.174,
  "magnetic_moment_mub_per_atom": 0.65,
  "volume_a3_per_atom": 22.203
}

<R>
{
  "formula": "TcIrPb2",
  "functional": "GGA-PBE",
  "state": "relaxed",
  "cell": [[4.698, -0.014, -0.004], [3.578, 3.044, -0.004], [1.187, 0.435, 5.519]],
  "species": ["Ir", "Pb", "Pb", "Tc"],
  "fractional_positions": [[0.750, 0.750, 0.750], [0.000, 0.000, 0.001], [0.500, 0.500, 0.499], [0.250, 0.250, 0.250]],
  "n_ef_per_ev_cell": 4.74,
  "mass_density_g_cm3": 14.773,
  "magnetic_moment_mub_per_atom": 0.05,
  "volume_a3_per_atom": 19.801
}

<S>
{
  "formula": "TcIrPb2",
  "functional": "GGA-PBE",
  "state": "relaxed",
  "cell": [[-1.524, 0.774, -2.797], [3.764, -2.972, -2.875], [0.015, -5.481, -1.526]],
  "species": ["Pb", "Pb", "Ir", "Tc"],
  "fractional_positions": [[0.000, 0.000, 0.000], [0.500, 0.500, 0.000], [0.000, 0.000, 0.500], [0.500, 0.500, 0.500]],
  "n_ef_per_ev_cell": 3.23,
  "mass_density_g_cm3": 14.790,
  "magnetic_moment_mub_per_atom": 0.00,
  "volume_a3_per_atom": 19.778
}

<P> is the most stable structure; the next one sits 8.4 kJ/mol of atoms above it.

<P>
{
  "formula": "TcIrPb2",
  "functional": "GGA-PBE",
  "state": "relaxed",
  "cell": [[-0.535, 2.708, 4.000], [1.936, -1.472, 4.208], [3.820, 2.351, 1.872]],
  "species": ["Pb", "Pb", "Ir", "Tc"],
  "fractional_positions": [[0.250, 0.250, 0.250], [0.000, 0.000, 0.000], [0.500, 0.500, 0.500], [0.750, 0.750, 0.750]],
  "n_ef_per_ev_cell": 3.23,
  "mass_density_g_cm3": 14.412,
  "magnetic_moment_mub_per_atom": 0.43,
  "volume_a3_per_atom": 20.296
}

<Q>
{
  "formula": "TcIrPb2",
  "functional": "GGA-PBE",
  "state": "relaxed",
  "cell": [[-0.535, 3.936, -4.233], [-5.156, 1.366, -2.292], [2.527, -0.622, 5.189]],
  "species": ["Tc", "Pb", "Pb", "Ir"],
  "fractional_positions": [[0.500, 0.500, 0.000], [0.250, 0.750, 0.500], [0.000, 0.000, 0.000], [0.750, 0.250, 0.500]],
  "n_ef_per_ev_cell": 3.15,
  "mass_density_g_cm3": 14.533,
  "magnetic_moment_mub_per_atom": 0.46,
  "volume_a3_per_atom": 20.127
}

<R>
{
  "formula": "TcIrPb2",
  "functional": "GGA-PBE",
  "state": "relaxed",
  "cell": [[0.000, 3.370, 3.370], [3.370, 0.000, 3.370], [3.370, 3.370, 0.000]],
  "species": ["Pb", "Pb", "Tc", "Ir"],
  "fractional_positions": [[0.250, 0.250, 0.250], [0.750, 0.750, 0.750], [0.000, 0.000, 0.000], [0.500, 0.500, 0.500]],
  "n_ef_per_ev_cell": 1.09,
  "mass_density_g_cm3": 15.292,
  "magnetic_moment_mub_per_atom": 0.00,
  "volume_a3_per_atom": 19.128
}

<R> is the most stable structure; the next one sits 13.0 kJ/mol of atoms above it.

<P>
{
  "formula": "TcIrPb2",
  "functional": "GGA-PBE",
  "state": "relaxed",
  "cell": [[-2.678, -0.569, 2.022], [2.060, -0.187, 2.676], [1.401, 6.353, 3.642]],
  "species": ["Ir", "Pb", "Pb", "Tc"],
  "fractional_positions": [[0.500, 0.750, 0.750], [0.000, 0.504, 0.495], [0.000, 0.996, 0.005], [0.500, 0.250, 0.250]],
  "n_ef_per_ev_cell": 3.36,
  "mass_density_g_cm3": 15.298,
  "magnetic_moment_mub_per_atom": 0.00,
  "volume_a3_per_atom": 19.121
}

<Q>
{
  "formula": "TcIrPb2",
  "functional": "GGA-PBE",
  "state": "relaxed",
  "cell": [[-5.195, 3.460, -6.181], [-4.769, 0.448, -7.363], [-7.068, 1.009, -5.117]],
  "species": ["Ir", "Pb", "Pb", "Tc"],
  "fractional_positions": [[0.750, 0.750, 0.750], [0.500, 0.500, 0.500], [0.000, 0.000, 0.000], [0.250, 0.250, 0.250]],
  "n_ef_per_ev_cell": 4.81,
  "mass_density_g_cm3": 14.788,
  "magnetic_moment_mub_per_atom": 0.00,
  "volume_a3_per_atom": 19.780
}

<P> is the most stable structure; the next one sits 8.7 kJ/mol of atoms above it.